BeTe2F GGA-PBE optimized geometry; symmetry = No. 122; uncorrected formation energy = -0.338 eV per atom; energy above the most stable polymorph in this dataset = 48 meV/atom; E_tot = -26.46 eV for the cell shown
1.0
5.087 0.000 0.000
0.000 5.087 0.000
2.543 2.543 7.185
Be F Te
2 2 4
direct
0.500 0.500 0.000
0.250 0.750 0.500
0.750 0.250 0.500
0.000 0.000 0.000
0.554 0.125 0.250
0.196 0.625 0.250
0.375 0.446 0.750
0.875 0.804 0.750